First-principles (GGA-PBEsol) data for an optimized crystal structure of TaReRh2, as listed in the Alexandria database.

Cell lengths 3.311, 3.311, 5.450 Å; angles 90.00, 90.00, 90.00 degrees
Fractional positions:
Ta1 0.000 0.000 0.000
Re1 0.000 0.000 0.500
Rh1 0.500 0.500 0.255
Rh2 0.500 0.500 0.745

Calculated values
Magnetic moment = 0.000 μB per formula unit
Energy of formation = -0.030 eV/atom
Energy above the lowest structure with this stoichiometry = 306 meV/atom
Space group = P4/mmm